1.
# TmTh2Sb

A relaxed structure of TmTh2Sb (PBE-GGA, Alexandria via LeMat-Bulk).

abc: 4.748 4.748 5.068
angles: 90.00 90.00 90.00
Fractional coordinates of all 4 atoms:
Tm (0.000, 0.000, 0.000)
Th (0.000, 0.500, 0.500)
Th (0.500, 0.000, 0.500)
Sb (0.500, 0.500, 0.000)

## Properties
E_form (uncorrected) = -0.42 eV/atom
Distance to the lowest polymorph of the same formula = 0.0000 eV/atom
D(E_F) = 0.9676 states/eV/atom
Crystal system = tetragonal
Space-group type = P4/mmm

---

2.
# IrPd

A relaxed structure of IrPd (PBE-GGA, Alexandria via LeMat-Bulk).

abc: 5.173 5.173 5.173
angles: 90.00 90.00 90.00
Fractional coordinates of all 8 atoms:
Ir (0.000, 0.000, 0.000)
Ir (0.000, 0.500, 0.500)
Ir (0.500, 0.000, 0.500)
Ir (0.500, 0.500, 0.000)
Pd (0.000, 0.000, 0.500)
Pd (0.000, 0.500, 0.000)
Pd (0.500, 0.000, 0.000)
Pd (0.500, 0.500, 0.500)

## Properties
D(E_F) = 1.7729 states/eV/atom
Formation energy = 1.070 eV per atom
Crystal system = cubic
Space-group type = Fm-3m

---

3.
# AsPdPb3

A relaxed structure of AsPdPb3 (PBE-GGA, Alexandria via LeMat-Bulk).

abc: 5.321 5.321 5.321
angles: 90.00 90.00 90.00
Fractional coordinates of all 5 atoms:
As (0.000, 0.000, 0.000)
Pd (0.500, 0.500, 0.500)
Pb (0.000, 0.500, 0.500)
Pb (0.500, 0.000, 0.500)
Pb (0.500, 0.500, 0.000)

## Properties
Distance to the lowest polymorph of the same formula = 0.0000 eV/atom
D(E_F) = 0.4300 states/eV/atom
Formation energy = 0.203 eV per atom
Crystal system = cubic
Space-group type = Pm-3m

---

4.
# SrLa2Pb

A relaxed structure of SrLa2Pb (PBE-GGA, Alexandria via LeMat-Bulk).

abc: 4.158 5.736 12.534
angles: 90.00 90.00 90.00
Fractional coordinates of all 8 atoms:
Sr (0.000, 0.000, 0.000)
Sr (0.500, 0.500, 0.500)
La (0.000, 0.500, 0.214)
La (0.000, 0.500, 0.786)
La (0.500, 0.000, 0.286)
La (0.500, 0.000, 0.714)
Pb (0.000, 0.000, 0.500)
Pb (0.500, 0.500, 0.000)

## Properties
D(E_F) = 0.9724 states/eV/atom
Formation energy = -0.252 eV per atom
Crystal system = orthorhombic
Space-group type = Immm

---

5.
# Sr3In4Au2

A relaxed structure of Sr3In4Au2 (PBE-GGA, Alexandria via LeMat-Bulk).

abc: 6.444 6.444 9.625
angles: 111.07 111.07 44.35
Fractional coordinates of all 9 atoms:
Sr (0.000, 0.000, 0.000)
Sr (0.315, 0.315, 0.362)
Sr (0.685, 0.685, 0.638)
In (0.016, 0.016, 0.353)
In (0.256, 0.256, 0.914)
In (0.744, 0.744, 0.086)
In (0.984, 0.984, 0.647)
Au (0.402, 0.402, 0.734)
Au (0.598, 0.598, 0.266)

## Properties
D(E_F) = 0.5164 states/eV/atom
Formation energy = -0.576 eV per atom
Crystal system = monoclinic
Space-group type = C2/m

---

6.
# SnGe3Te4

A relaxed structure of SnGe3Te4 (PBE-GGA, Alexandria via LeMat-Bulk).

abc: 12.234 6.180 6.240
angles: 90.00 90.00 90.00
Fractional coordinates of all 16 atoms:
Sn (0.000, 0.241, 0.000)
Sn (0.500, 0.759, 0.500)
Ge (0.000, 0.773, 0.514)
Ge (0.249, 0.280, 0.514)
Ge (0.251, 0.720, 0.014)
Ge (0.500, 0.227, 0.014)
Ge (0.749, 0.720, 0.014)
Ge (0.751, 0.280, 0.514)
Te (0.000, 0.245, 0.482)
Te (0.000, 0.745, 0.964)
Te (0.243, 0.743, 0.465)
Te (0.257, 0.257, 0.965)
Te (0.500, 0.255, 0.464)
Te (0.500, 0.755, 0.982)
Te (0.743, 0.257, 0.965)
Te (0.757, 0.743, 0.465)

## Properties
E_form (uncorrected) = -0.12 eV/atom
Distance to the lowest polymorph of the same formula = 0.0000 eV/atom
Crystal system = orthorhombic
Space-group type = Pmn2_1

---

7.
# CoPdRu

A relaxed structure of CoPdRu (PBE-GGA, Alexandria via LeMat-Bulk).

abc: 2.695 2.695 19.377
angles: 90.00 90.00 120.00
Fractional coordinates of all 9 atoms:
Co (0.000, 0.000, 0.000)
Co (0.333, 0.667, 0.667)
Co (0.667, 0.333, 0.333)
Pd (0.000, 0.000, 0.221)
Pd (0.333, 0.667, 0.887)
Pd (0.667, 0.333, 0.554)
Ru (0.000, 0.000, 0.768)
Ru (0.333, 0.667, 0.435)
Ru (0.667, 0.333, 0.102)

## Properties
Distance to the lowest polymorph of the same formula = 0.0263 eV/atom
D(E_F) = 1.2940 states/eV/atom
Formation energy = 0.168 eV per atom
Crystal system = trigonal
Space-group type = R3m

---

8.
# LaRhBr2

A relaxed structure of LaRhBr2 (PBE-GGA, Alexandria via LeMat-Bulk).

abc: 7.155 7.155 7.155
angles: 90.00 90.00 90.00
Fractional coordinates of all 16 atoms:
La (0.000, 0.000, 0.000)
La (0.000, 0.500, 0.500)
La (0.500, 0.000, 0.500)
La (0.500, 0.500, 0.000)
Rh (0.000, 0.000, 0.500)
Rh (0.000, 0.500, 0.000)
Rh (0.500, 0.000, 0.000)
Rh (0.500, 0.500, 0.500)
Br (0.250, 0.250, 0.250)
Br (0.250, 0.250, 0.750)
Br (0.250, 0.750, 0.250)
Br (0.250, 0.750, 0.750)
Br (0.750, 0.250, 0.250)
Br (0.750, 0.250, 0.750)
Br (0.750, 0.750, 0.250)
Br (0.750, 0.750, 0.750)

## Properties
E_form (uncorrected) = -0.66 eV/atom
Distance to the lowest polymorph of the same formula = 0.4721 eV/atom
D(E_F) = 0.1955 states/eV/atom
Crystal system = cubic
Space-group type = Fm-3m

---

9.
# TcHOs2W

A relaxed structure of TcHOs2W (PBE-GGA, Alexandria via LeMat-Bulk).

abc: 3.937 3.937 3.954
angles: 90.00 90.00 90.00
Fractional coordinates of all 5 atoms:
Tc (0.000, 0.000, 0.000)
H (0.000, 0.000, 0.500)
Os (0.000, 0.500, 0.500)
Os (0.500, 0.000, 0.500)
W (0.500, 0.500, 0.000)

## Properties
Distance to the lowest polymorph of the same formula = 0.0000 eV/atom
D(E_F) = 0.8649 states/eV/atom
Crystal system = tetragonal
Space-group type = P4/mmm

---

10.
# LiIn2Bi

A relaxed structure of LiIn2Bi (PBE-GGA, Alexandria via LeMat-Bulk).

abc: 3.381 3.381 8.867
angles: 90.00 90.00 90.00
Fractional coordinates of all 4 atoms:
Li (0.000, 0.000, 0.000)
In (0.500, 0.500, 0.212)
In (0.500, 0.500, 0.788)
Bi (0.000, 0.000, 0.500)

## Properties
D(E_F) = 0.3593 states/eV/atom
Formation energy = -0.095 eV per atom
Crystal system = tetragonal
Space-group type = P4/mmm

---

11.
# Sr2AlTeO6

A relaxed structure of Sr2AlTeO6 (PBE-GGA, Alexandria via LeMat-Bulk).

abc: 5.639 5.639 5.639
angles: 60.00 60.00 60.00
Fractional coordinates of all 10 atoms:
Sr (0.250, 0.250, 0.250)
Sr (0.750, 0.750, 0.750)
Al (0.000, 0.000, 0.000)
Te (0.500, 0.500, 0.500)
O (0.243, 0.243, 0.757)
O (0.243, 0.757, 0.243)
O (0.243, 0.757, 0.757)
O (0.757, 0.243, 0.243)
O (0.757, 0.243, 0.757)
O (0.757, 0.757, 0.243)

## Properties
E_form (uncorrected) = -2.28 eV/atom
D(E_F) = 0.2037 states/eV/atom
Crystal system = cubic
Space-group type = Fm-3m

---

12.
# Sm2ZnGe3Pd4

A relaxed structure of Sm2ZnGe3Pd4 (PBE-GGA, Alexandria via LeMat-Bulk).

abc: 4.301 4.301 10.252
angles: 90.00 90.00 90.00
Fractional coordinates of all 10 atoms:
Sm (0.000, 0.500, 0.248)
Sm (0.500, 0.000, 0.752)
Zn (0.500, 0.500, 0.000)
Ge (0.000, 0.000, 0.000)
Ge (0.000, 0.500, 0.631)
Ge (0.500, 0.000, 0.369)
Pd (0.000, 0.000, 0.500)
Pd (0.000, 0.500, 0.869)
Pd (0.500, 0.000, 0.131)
Pd (0.500, 0.500, 0.500)

## Properties
D(E_F) = 0.5615 states/eV/atom
Formation energy = -0.787 eV per atom
Crystal system = tetragonal
Space-group type = P-4m2

---

13.
# InBSeN2

A relaxed structure of InBSeN2 (PBE-GGA, Alexandria via LeMat-Bulk).

abc: 4.159 4.159 5.860
angles: 90.00 90.00 90.00
Fractional coordinates of all 5 atoms:
In (0.000, 0.000, 0.000)
B (0.500, 0.500, 0.500)
Se (0.000, 0.000, 0.500)
N (0.000, 0.500, 0.000)
N (0.500, 0.000, 0.000)

## Properties
E_form (uncorrected) = 2.23 eV/atom
Distance to the lowest polymorph of the same formula = 0.9147 eV/atom
D(E_F) = 0.3022 states/eV/atom
Crystal system = tetragonal
Space-group type = P4/mmm

---

14.
# Al2PbSe

A relaxed structure of Al2PbSe (PBE-GGA, Alexandria via LeMat-Bulk).

abc: 3.802 3.802 6.655
angles: 90.00 90.00 90.00
Fractional coordinates of all 4 atoms:
Al (0.000, 0.000, 0.000)
Al (0.500, 0.500, 0.271)
Pb (0.000, 0.000, 0.465)
Se (0.500, 0.500, 0.896)

## Properties
E_form (uncorrected) = -0.04 eV/atom
Distance to the lowest polymorph of the same formula = 0.1056 eV/atom
D(E_F) = 0.4026 states/eV/atom
Crystal system = tetragonal
Space-group type = P4mm

---

15.
# CaIn2Au

A relaxed structure of CaIn2Au (PBE-GGA, Alexandria via LeMat-Bulk).

abc: 3.862 4.308 6.496
angles: 90.00 107.17 90.00
Fractional coordinates of all 4 atoms:
Ca (0.000, 0.000, 0.000)
In (0.267, 0.000, 0.536)
In (0.662, 0.500, 0.324)
Au (0.422, 0.500, 0.842)

## Properties
D(E_F) = 0.4508 states/eV/atom
Formation energy = -0.419 eV per atom
Crystal system = monoclinic
Space-group type = Pm

---

16.
# SiNO2

A relaxed structure of SiNO2 (PBE-GGA, Alexandria via LeMat-Bulk).

abc: 5.304 5.304 5.304
angles: 60.00 60.00 60.00
Fractional coordinates of all 8 atoms:
Si (0.125, 0.125, 0.125)
Si (0.875, 0.875, 0.875)
N (0.375, 0.375, 0.375)
N (0.625, 0.625, 0.625)
O (0.000, 0.000, 0.000)
O (0.000, 0.000, 0.500)
O (0.000, 0.500, 0.000)
O (0.500, 0.000, 0.000)

## Properties
E_form (uncorrected) = -0.75 eV/atom
Distance to the lowest polymorph of the same formula = 1.0731 eV/atom
D(E_F) = 0.0000 states/eV/atom
Crystal system = cubic
Space-group type = Fd-3m

---

17.
# LaSn4Ir2

A relaxed structure of LaSn4Ir2 (PBE-GGA, Alexandria via LeMat-Bulk).

abc: 18.640 4.558 7.289
angles: 90.00 90.00 90.00
Fractional coordinates of all 28 atoms:
La (0.142, 0.250, 0.004)
La (0.358, 0.750, 0.504)
La (0.642, 0.250, 0.496)
La (0.858, 0.750, 0.996)
Sn (0.032, 0.750, 0.866)
Sn (0.067, 0.250, 0.479)
Sn (0.183, 0.750, 0.305)
Sn (0.194, 0.750, 0.723)
Sn (0.306, 0.250, 0.223)
Sn (0.317, 0.250, 0.805)
Sn (0.433, 0.750, 0.979)
Sn (0.468, 0.250, 0.366)
Sn (0.532, 0.750, 0.634)
Sn (0.567, 0.250, 0.021)
Sn (0.683, 0.750, 0.195)
Sn (0.694, 0.750, 0.777)
Sn (0.806, 0.250, 0.277)
Sn (0.817, 0.250, 0.695)
Sn (0.933, 0.750, 0.521)
Sn (0.968, 0.250, 0.134)
Ir (0.035, 0.750, 0.251)
Ir (0.214, 0.250, 0.518)
Ir (0.286, 0.750, 0.018)
Ir (0.465, 0.250, 0.751)
Ir (0.535, 0.750, 0.249)
Ir (0.714, 0.250, 0.982)
Ir (0.786, 0.750, 0.482)
Ir (0.965, 0.250, 0.749)

## Properties
D(E_F) = 0.2476 states/eV/atom
Formation energy = -0.572 eV per atom
Crystal system = orthorhombic
Space-group type = Pnma

---

18.
# Mg2PBr

A relaxed structure of Mg2PBr (PBE-GGA, Alexandria via LeMat-Bulk).

abc: 7.697 7.294 3.707
angles: 90.00 118.54 90.00
Fractional coordinates of all 8 atoms:
Mg (0.250, 0.250, 0.000)
Mg (0.250, 0.750, 0.000)
Mg (0.750, 0.250, 0.000)
Mg (0.750, 0.750, 0.000)
P (0.000, 0.000, 0.000)
P (0.500, 0.500, 0.000)
Br (0.000, 0.500, 0.000)
Br (0.500, 0.000, 0.000)

## Properties
E_form (uncorrected) = -0.45 eV/atom
Distance to the lowest polymorph of the same formula = 0.4421 eV/atom
D(E_F) = 0.0906 states/eV/atom
Crystal system = monoclinic
Space-group type = C2/m

---

19.
# AlMo2As

A relaxed structure of AlMo2As (PBE-GGA, Alexandria via LeMat-Bulk).

abc: 8.931 3.136 4.572
angles: 90.00 97.22 90.00
Fractional coordinates of all 8 atoms:
Al (0.000, 0.000, 0.000)
Al (0.500, 0.500, 0.000)
Mo (0.249, 0.500, 0.247)
Mo (0.251, 0.000, 0.753)
Mo (0.749, 0.000, 0.247)
Mo (0.751, 0.500, 0.753)
As (0.000, 0.500, 0.500)
As (0.500, 0.000, 0.500)

## Properties
Distance to the lowest polymorph of the same formula = 0.2706 eV/atom
D(E_F) = 0.7497 states/eV/atom
Formation energy = 0.054 eV per atom
Crystal system = monoclinic
Space-group type = C2/m

---

20.
# YB2C

A relaxed structure of YB2C (PBE-GGA, Alexandria via LeMat-Bulk).

abc: 4.352 3.052 6.283
angles: 90.00 99.35 90.00
Fractional coordinates of all 8 atoms:
Y (0.056, 0.250, 0.245)
Y (0.944, 0.750, 0.755)
B (0.371, 0.750, 0.538)
B (0.492, 0.250, 0.934)
B (0.508, 0.750, 0.066)
B (0.629, 0.250, 0.462)
C (0.433, 0.250, 0.668)
C (0.567, 0.750, 0.332)

## Properties
D(E_F) = 0.2201 states/eV/atom
Formation energy = -0.162 eV per atom
Crystal system = monoclinic
Space-group type = P2_1/m